10
Lattice="4.246 0.000 0.000 0.000 4.246 0.000 0.000 0.000 9.813" Properties=species:S:1:pos:R:3 comment="Th2Si4NiPt3, relaxed, DFT PBE" dos_at_fermi_per_ev_fu=3.82 vol_a3_per_atom=17.688 dft_energy_ev_per_atom=-7.116 pbc="T T T"
Th 0.000 2.123 2.399
Th 2.123 0.000 7.414
Si 0.000 0.000 4.907
Si 0.000 2.123 8.571
Si 2.123 0.000 1.242
Si 2.123 2.123 4.907
Ni 2.123 2.123 0.000
Pt 0.000 0.000 0.000
Pt 0.000 2.123 6.108
Pt 2.123 0.000 3.705

***

4
Lattice="3.025 0.000 0.000 -1.513 3.947 0.000 -1.495 -1.590 6.592" Properties=species:S:1:pos:R:3 comment="GaHgRuS, relaxed, DFT PBE" dos_at_fermi_per_ev_fu=1.69 vol_a3_per_atom=19.679 e_above_lowest_polymorph_ev_per_atom=0.0938 pbc="T T T"
Ga 0.000 0.000 0.000
Hg -1.557 0.499 4.888
Ru 1.513 -0.260 2.020
S -1.513 2.033 2.466

***

5
Lattice="4.389 0.000 0.000 0.000 4.389 0.000 0.000 0.000 4.868" Properties=species:S:1:pos:R:3 comment="LiYBe2Hg, relaxed, DFT PBE" dos_at_fermi_per_ev_fu=3.24 vol_a3_per_atom=18.754 dft_energy_ev_per_atom=-2.544 pbc="T T T"
Li 0.000 0.000 0.000
Y 0.000 0.000 2.434
Be 0.000 2.194 0.000
Be 2.194 0.000 0.000
Hg 2.194 2.194 2.434